This record from the Alexandria database describes a geometry-optimized Tb3Hg5S12 structure. The functional is PBE.

* ρ: 6.35 g/cm3
* formation energy without anion corrections: -0.581 eV per atom
* size of the total moment: 0.00 μB/f.u.

Lattice parameters (Å, degrees): 13.630 13.630 13.630 109.47 109.47 109.47
Sites, in units of the cell vectors:
Tb 0.125 0.250 0.375
Tb 0.125 0.375 0.750
Tb 0.250 0.375 0.125
Tb 0.250 0.875 0.625
Tb 0.375 0.125 0.250
Tb 0.375 0.750 0.125
Tb 0.625 0.250 0.875
Tb 0.625 0.875 0.750
Tb 0.750 0.125 0.375
Tb 0.750 0.625 0.875
Tb 0.875 0.625 0.250
Tb 0.875 0.750 0.625
Hg 0.000 0.000 0.000
Hg 0.000 0.000 0.500
Hg 0.000 0.500 0.000
Hg 0.000 0.500 0.500
Hg 0.125 0.750 0.875
Hg 0.125 0.875 0.250
Hg 0.250 0.125 0.875
Hg 0.250 0.625 0.375
Hg 0.375 0.250 0.625
Hg 0.375 0.625 0.750
Hg 0.500 0.000 0.000
Hg 0.500 0.000 0.500
Hg 0.500 0.500 0.000
Hg 0.500 0.500 0.500
Hg 0.625 0.375 0.250
Hg 0.625 0.750 0.375
Hg 0.750 0.375 0.625
Hg 0.750 0.875 0.125
Hg 0.875 0.125 0.750
Hg 0.875 0.250 0.125
S 0.055 0.226 0.141
S 0.055 0.329 0.915
S 0.085 0.641 0.415
S 0.085 0.726 0.671
S 0.085 0.859 0.415
S 0.085 0.945 0.671
S 0.141 0.055 0.226
S 0.141 0.585 0.915
S 0.171 0.226 0.585
S 0.171 0.445 0.585
S 0.226 0.141 0.055
S 0.226 0.585 0.171
S 0.274 0.329 0.915
S 0.274 0.445 0.359
S 0.329 0.915 0.055
S 0.329 0.915 0.274
S 0.359 0.274 0.445
S 0.359 0.585 0.915
S 0.415 0.085 0.641
S 0.415 0.085 0.859
S 0.415 0.829 0.555
S 0.415 0.829 0.774
S 0.445 0.359 0.274
S 0.445 0.585 0.171
S 0.555 0.415 0.829
S 0.555 0.641 0.726
S 0.585 0.171 0.226
S 0.585 0.171 0.445
S 0.585 0.915 0.141
S 0.585 0.915 0.359
S 0.641 0.415 0.085
S 0.641 0.726 0.555
S 0.671 0.085 0.726
S 0.671 0.085 0.945
S 0.726 0.555 0.641
S 0.726 0.671 0.085
S 0.774 0.415 0.829
S 0.774 0.859 0.945
S 0.829 0.555 0.415
S 0.829 0.774 0.415
S 0.859 0.415 0.085
S 0.859 0.945 0.774
S 0.915 0.055 0.329
S 0.915 0.141 0.585
S 0.915 0.274 0.329
S 0.915 0.359 0.585
S 0.945 0.671 0.085
S 0.945 0.774 0.859


This record from the Alexandria database describes a geometry-optimized Tb6Hg2S structure. The functional is PBE.

* ρ: 9.01 g/cm3
* formation energy without anion corrections: -0.630 eV per atom
* size of the total moment: 0.00 μB/f.u.

Lattice parameters (Å, degrees): 6.695 7.380 12.271 90.00 122.53 90.00
Sites, in units of the cell vectors:
Tb 0.118 0.020 0.250
Tb 0.118 0.480 0.750
Tb 0.218 0.698 0.053
Tb 0.218 0.802 0.553
Tb 0.368 0.177 0.049
Tb 0.368 0.323 0.549
Tb 0.632 0.677 0.451
Tb 0.632 0.823 0.951
Tb 0.782 0.198 0.447
Tb 0.782 0.302 0.947
Tb 0.882 0.520 0.250
Tb 0.882 0.980 0.750
Hg 0.316 0.102 0.749
Hg 0.316 0.398 0.249
Hg 0.684 0.602 0.751
Hg 0.684 0.898 0.251
S 0.500 0.000 0.500
S 0.500 0.500 0.000


This record from the Alexandria database describes a geometry-optimized TcHgS2 structure. The functional is PBE.

* ρ: 7.23 g/cm3
* formation energy without anion corrections: 0.617 eV per atom
* size of the total moment: 0.00 μB/f.u.

Lattice parameters (Å, degrees): 3.451 3.451 24.218 90.00 90.00 120.00
Sites, in units of the cell vectors:
Tc 0.000 0.000 0.000
Tc 0.333 0.667 0.667
Tc 0.667 0.333 0.333
Hg 0.000 0.000 0.500
Hg 0.333 0.667 0.167
Hg 0.667 0.333 0.833
S 0.000 0.000 0.091
S 0.000 0.000 0.909
S 0.333 0.667 0.576
S 0.333 0.667 0.757
S 0.667 0.333 0.243
S 0.667 0.333 0.424


This record from the Alexandria database describes a geometry-optimized Tc2HgS structure. The functional is PBE.

* ρ: 10.49 g/cm3
* formation energy without anion corrections: 0.466 eV per atom
* polymorph energy (0 for the lowest one): 0.0 meV/atom
* size of the total moment: 0.00 μB/f.u.

Lattice parameters (Å, degrees): 6.941 6.941 5.634 90.00 90.00 90.00
Sites, in units of the cell vectors:
Tc 0.174 0.250 0.125
Tc 0.250 0.674 0.375
Tc 0.250 0.826 0.875
Tc 0.326 0.250 0.625
Tc 0.674 0.750 0.625
Tc 0.750 0.174 0.875
Tc 0.750 0.326 0.375
Tc 0.826 0.750 0.125
Hg 0.000 0.000 0.500
Hg 0.000 0.500 0.750
Hg 0.500 0.000 0.250
Hg 0.500 0.500 0.000
S 0.000 0.000 0.000
S 0.000 0.500 0.250
S 0.500 0.000 0.750
S 0.500 0.500 0.500


This record from the Alexandria database describes a geometry-optimized TcHgS2 structure. The functional is PBE.

* ρ: 7.19 g/cm3
* formation energy without anion corrections: -0.210 eV per atom
* size of the total moment: 0.00 μB/f.u.

Lattice parameters (Å, degrees): 3.150 3.150 29.259 90.00 90.00 120.00
Sites, in units of the cell vectors:
Tc 0.000 0.000 0.000
Tc 0.333 0.667 0.667
Tc 0.667 0.333 0.333
Hg 0.000 0.000 0.500
Hg 0.333 0.667 0.167
Hg 0.667 0.333 0.833
S 0.000 0.000 0.388
S 0.000 0.000 0.612
S 0.333 0.667 0.054
S 0.333 0.667 0.279
S 0.667 0.333 0.721
S 0.667 0.333 0.946


This record from the Alexandria database describes a geometry-optimized TcHgS2 structure. The functional is PBE.

* ρ: 5.62 g/cm3
* formation energy without anion corrections: -0.054 eV per atom
* size of the total moment: 0.00 μB/f.u.

Lattice parameters (Å, degrees): 6.695 6.695 9.572 90.00 90.00 90.00
Sites, in units of the cell vectors:
Tc 0.000 0.000 0.000
Tc 0.000 0.500 0.250
Tc 0.500 0.000 0.750
Tc 0.500 0.500 0.500
Hg 0.000 0.000 0.500
Hg 0.000 0.500 0.750
Hg 0.500 0.000 0.250
Hg 0.500 0.500 0.000
S 0.124 0.250 0.125
S 0.250 0.624 0.375
S 0.250 0.876 0.875
S 0.376 0.250 0.625
S 0.624 0.750 0.625
S 0.750 0.124 0.875
S 0.750 0.376 0.375
S 0.876 0.750 0.125


This record from the Alexandria database describes a geometry-optimized Tc3HgS structure. The functional is PBE.

* ρ: 10.29 g/cm3
* formation energy without anion corrections: 0.500 eV per atom
* polymorph energy (0 for the lowest one): 0.0 meV/atom
* size of the total moment: 1.79 μB/f.u.

Lattice parameters (Å, degrees): 4.397 4.397 4.397 90.00 90.00 90.00
Sites, in units of the cell vectors:
Tc 0.000 0.000 0.500
Tc 0.000 0.500 0.000
Tc 0.500 0.000 0.000
Hg 0.500 0.500 0.500
S 0.000 0.000 0.000


This record from the Alexandria database describes a geometry-optimized TcHg2S structure. The functional is PBE.

* ρ: 8.50 g/cm3
* formation energy without anion corrections: 0.303 eV per atom
* size of the total moment: 0.00 μB/f.u.

Lattice parameters (Å, degrees): 9.721 9.721 4.392 90.00 90.00 90.00
Sites, in units of the cell vectors:
Tc 0.000 0.000 0.000
Tc 0.000 0.500 0.250
Tc 0.500 0.000 0.750
Tc 0.500 0.500 0.500
Hg 0.126 0.250 0.125
Hg 0.250 0.626 0.375
Hg 0.250 0.874 0.875
Hg 0.374 0.250 0.625
Hg 0.626 0.750 0.625
Hg 0.750 0.126 0.875
Hg 0.750 0.374 0.375
Hg 0.874 0.750 0.125
S 0.000 0.000 0.500
S 0.000 0.500 0.750
S 0.500 0.000 0.250
S 0.500 0.500 0.000


This record from the Alexandria database describes a geometry-optimized TcHg3S structure. The functional is PBE.

* ρ: 8.63 g/cm3
* formation energy without anion corrections: 1.220 eV per atom
* polymorph energy (0 for the lowest one): 243.9 meV/atom
* size of the total moment: 4.26 μB/f.u.

Lattice parameters (Å, degrees): 5.203 5.203 5.203 90.00 90.00 90.00
Sites, in units of the cell vectors:
Tc 0.000 0.000 0.000
Hg 0.000 0.500 0.500
Hg 0.500 0.000 0.500
Hg 0.500 0.500 0.000
S 0.500 0.500 0.500


This record from the Alexandria database describes a geometry-optimized TcHg3S structure. The functional is PBE.

* ρ: 7.94 g/cm3
* formation energy without anion corrections: 0.976 eV per atom
* polymorph energy (0 for the lowest one): 0.0 meV/atom
* size of the total moment: 3.92 μB/f.u.

Lattice parameters (Å, degrees): 5.348 5.348 5.348 90.00 90.00 90.00
Sites, in units of the cell vectors:
Tc 0.000 0.000 0.000
Hg 0.000 0.000 0.500
Hg 0.000 0.500 0.000
Hg 0.500 0.000 0.000
S 0.500 0.500 0.500


This record from the Alexandria database describes a geometry-optimized Tc3HgS structure. The functional is PBE.

* ρ: 6.37 g/cm3
* formation energy without anion corrections: 2.561 eV per atom
* polymorph energy (0 for the lowest one): 2060.3 meV/atom
* size of the total moment: 11.09 μB/f.u.

Lattice parameters (Å, degrees): 5.158 5.158 5.158 90.00 90.00 90.00
Sites, in units of the cell vectors:
Tc 0.000 0.000 0.500
Tc 0.000 0.500 0.000
Tc 0.500 0.000 0.000
Hg 0.000 0.000 0.000
S 0.500 0.500 0.500


This record from the Alexandria database describes a geometry-optimized Tc2HgS structure. The functional is PBE.

* ρ: 11.43 g/cm3
* formation energy without anion corrections: 0.753 eV per atom
* polymorph energy (0 for the lowest one): 287.1 meV/atom
* size of the total moment: 0.00 μB/f.u.

Lattice parameters (Å, degrees): 6.292 6.292 6.292 90.00 90.00 90.00
Sites, in units of the cell vectors:
Tc 0.250 0.250 0.250
Tc 0.250 0.250 0.750
Tc 0.250 0.750 0.250
Tc 0.250 0.750 0.750
Tc 0.750 0.250 0.250
Tc 0.750 0.250 0.750
Tc 0.750 0.750 0.250
Tc 0.750 0.750 0.750
Hg 0.000 0.000 0.000
Hg 0.000 0.500 0.500
Hg 0.500 0.000 0.500
Hg 0.500 0.500 0.000
S 0.000 0.000 0.500
S 0.000 0.500 0.000
S 0.500 0.000 0.000
S 0.500 0.500 0.500